## YInCuOs (PBE)

Data for YInCuOs after structural relaxation.

Geometry as CIF:
```
data_YInCuOs
_chemical_formula_sum 'Y4 In4 Cu4 Os4'
_symmetry_space_group_name_H-M 'F -4 3 m'
_symmetry_Int_Tables_number 216
_symmetry_space_group_name_Hall 'F -4 2 3'
_cell_length_a 6.648
_cell_length_b 6.648
_cell_length_c 6.648
_cell_angle_alpha 90.00
_cell_angle_beta 90.00
_cell_angle_gamma 90.00
loop_
_atom_site_label
_atom_site_type_symbol
_atom_site_fract_x
_atom_site_fract_y
_atom_site_fract_z
Y1 Y 0.000 0.000 0.000
In1 In 0.250 0.250 0.250
Cu1 Cu 0.000 0.000 0.500
Os1 Os 0.250 0.250 0.750
```

Summary:
Offset from the most stable computed form = 300.5 meV/atom
Calculated total energy = -91.43 eV per cell
Calculated density = 10.342 g/cm3